Entry 1:
The following is a GGA-PBE calculation of an optimized crystal structure of BaNpTe4Pd2, from Alexandria via LeMat-Bulk.

Summary:
- total DFT energy (no corrections) (eV/atom) = -5.3257
- space group = No. 23
- energy relative to the elements, uncorrected (eV/atom) = -0.599

The structure in POSCAR format:
```
BaNpTe4Pd2
1.0
7.1021 0.0000 0.0000
3.5510 5.8373 0.0761
3.5510 0.5542 5.8114
Te Pd Ba Np
4 2 1 1
Direct
0.0464 0.9682 0.4873
0.4982 0.4873 0.9682
0.9536 0.5127 0.0318
0.5018 0.0318 0.5127
0.1660 0.3340 0.3340
0.8340 0.6660 0.6660
0.0000 0.0000 0.0000
0.5000 0.5000 0.5000
```

Entry 2:
The following is a GGA-PBE calculation of an optimized crystal structure of MnBi2P2Pd7, from Alexandria via LeMat-Bulk.

Summary:
- total DFT energy (no corrections) (eV/atom) = -5.6352
- space group = No. 12
- energy of formation (eV per atom) = -0.29

The structure in POSCAR format:
```
MnBi2P2Pd7
1.0
-1.3757 2.5590 2.7942
-0.6227 -3.0738 2.5323
10.9684 1.0739 8.4412
Pd P Bi Mn
7 2 2 1
Direct
0.8978 0.3977 0.1478
0.2191 0.2191 0.4212
0.7809 0.7809 0.5788
0.5000 0.5000 0.0000
0.1022 0.6023 0.8522
0.3977 0.8978 0.1478
0.6023 0.1022 0.8522
0.3326 0.3326 0.2424
0.6674 0.6674 0.7576
0.2582 0.2582 0.6216
0.7418 0.7418 0.3784
0.0000 0.0000 0.0000
```

Entry 3:
The following is a GGA-PBE calculation of an optimized crystal structure of TbSm6Er3Tm2, from Alexandria via LeMat-Bulk.

Summary:
- total DFT energy (no corrections) (eV/atom) = -4.6157
- space group = No. 12
- energy of formation (eV per atom) = 0.02

The structure in POSCAR format:
```
TbSm6Er3Tm2
1.0
-1.3515 -4.2172 4.3264
5.3361 -0.3668 -3.1179
3.8068 8.0910 7.6047
Sm Tm Er Tb
6 2 3 1
Direct
0.5824 0.9161 0.7498
0.9161 0.5824 0.7498
0.4176 0.0839 0.2502
0.2498 0.2498 0.7499
0.7502 0.7502 0.2501
0.0839 0.4176 0.2502
0.3334 0.6666 0.0000
0.6666 0.3334 0.0000
0.1668 0.8332 0.5000
0.8332 0.1668 0.5000
0.5000 0.5000 0.5000
0.0000 0.0000 0.0000
```

Entry 4:
The following is a GGA-PBE calculation of an optimized crystal structure of Ca2TlBr, from Alexandria via LeMat-Bulk.

Summary:
- total DFT energy (no corrections) (eV/atom) = -2.8841
- space group = No. 160
- energy relative to the elements, uncorrected (eV/atom) = -0.874

The structure in POSCAR format:
```
Ca2TlBr
1.0
4.0641 0.0000 0.0000
2.0321 3.5196 0.0000
2.0321 1.1732 8.7930
Ca Tl Br
2 1 1
Direct
0.0828 0.0828 0.7515
0.2521 0.2521 0.2438
0.6672 0.6672 0.9983
0.4979 0.4979 0.5064
```